[1]
Here is a geometry-optimized Ta2AgPb structure from Alexandria. Energies are from GGA-PBEsol. Values from VASP.

Properties
* energy relative to the elements: 0.46 eV/atom
* size of the total moment: 0.0 Bohr magnetons per cell
* E_tot: -30.6 eV/f.u.

```
&SYSTEM
  ibrav = 0, nat = 4, ntyp = 3
/
ATOMIC_SPECIES
Ta 180.95 Ta.upf
Ag 107.87 Ag.upf
Pb 207.20 Pb.upf
CELL_PARAMETERS angstrom
2.859 -4.446 0.000
2.859 4.446 0.000
0.000 0.000 2.927
ATOMIC_POSITIONS crystal
Ta 0.000 0.500 0.000
Ta 0.500 0.000 0.000
Ag 0.000 0.000 0.500
Pb 0.500 0.500 0.500
```

***

[2]
Here is a geometry-optimized Na2InHBr structure from Alexandria. Energies are from GGA-PBEsol. Values from VASP.

Properties
* size of the total moment: 0.0 Bohr magnetons per cell
* E_tot: -12.5 eV/f.u.

```
&SYSTEM
  ibrav = 0, nat = 5, ntyp = 4
/
ATOMIC_SPECIES
Na 22.99 Na.upf
In 114.82 In.upf
H 1.01 H.upf
Br 79.90 Br.upf
CELL_PARAMETERS angstrom
4.925 0.000 0.000
0.000 4.925 0.000
0.000 0.000 4.723
ATOMIC_POSITIONS crystal
Na 0.000 0.500 0.000
Na 0.500 0.000 0.000
In 0.000 0.000 0.500
H 0.000 0.000 0.000
Br 0.500 0.500 0.500
```

***

[3]
Here is a geometry-optimized TeRu2Cl structure from Alexandria. Energies are from GGA-PBEsol. Values from VASP.

Properties
* E above lowest polymorph: 0.0000 eV per atom
* ΔE_f (raw): 0.74 eV per atom
* size of the total moment: 0.0 Bohr magnetons per cell
* E_tot: -22.9 eV/f.u.

```
&SYSTEM
  ibrav = 0, nat = 4, ntyp = 3
/
ATOMIC_SPECIES
Te 127.60 Te.upf
Ru 101.07 Ru.upf
Cl 35.45 Cl.upf
CELL_PARAMETERS angstrom
1.573 -2.730 0.000
1.573 2.730 0.000
0.000 0.000 8.027
ATOMIC_POSITIONS crystal
Te 0.000 0.000 0.000
Ru 0.500 0.500 0.245
Ru 0.500 0.500 0.755
Cl 0.000 0.000 0.500
```

***

[4]
Here is a geometry-optimized LiSiSe2 structure from Alexandria. Energies are from GGA-PBEsol. Values from VASP.

Properties
* ΔE_f (raw): -0.61 eV per atom
* size of the total moment: 0.0 Bohr magnetons per cell
* E_tot: -17.9 eV/f.u.

```
&SYSTEM
  ibrav = 0, nat = 4, ntyp = 3
/
ATOMIC_SPECIES
Li 6.94 Li.upf
Si 28.09 Si.upf
Se 78.96 Se.upf
CELL_PARAMETERS angstrom
1.815 1.048 6.362
-1.815 1.048 6.362
0.000 -2.095 6.362
ATOMIC_POSITIONS crystal
Li 0.000 0.000 0.000
Si 0.500 0.500 0.500
Se 0.243 0.243 0.243
Se 0.757 0.757 0.757
```

***

[5]
Here is a geometry-optimized CaTcPb structure from Alexandria. Energies are from GGA-PBEsol. Values from VASP.

Properties
* energy relative to the elements: 0.43 eV/atom
* size of the total moment: 1.4 Bohr magnetons per cell
* E_tot: -16.1 eV/f.u.

```
&SYSTEM
  ibrav = 0, nat = 3, ntyp = 3
/
ATOMIC_SPECIES
Ca 40.08 Ca.upf
Tc 98.00 Tc.upf
Pb 207.20 Pb.upf
CELL_PARAMETERS angstrom
4.813 0.000 0.000
-2.407 4.169 0.000
0.000 0.000 3.325
ATOMIC_POSITIONS crystal
Ca 0.000 0.000 0.000
Tc 0.333 0.667 0.500
Pb 0.667 0.333 0.500
```

***

[6]
Here is a geometry-optimized Cs3Cr2Cl9 structure from Alexandria. Energies are from GGA-PBEsol. Values from VASP.

Properties
* ΔE_f (raw): -1.55 eV per atom
* size of the total moment: 12.0 Bohr magnetons per cell
* E_tot: -63.1 eV/f.u.

```
&SYSTEM
  ibrav = 0, nat = 28, ntyp = 3
/
ATOMIC_SPECIES
Cs 132.91 Cs.upf
Cr 52.00 Cr.upf
Cl 35.45 Cl.upf
CELL_PARAMETERS angstrom
7.152 0.000 0.000
-3.576 6.194 0.000
0.000 0.000 17.896
ATOMIC_POSITIONS crystal
Cs 0.000 0.000 0.250
Cs 0.000 0.000 0.750
Cs 0.333 0.667 0.072
Cs 0.333 0.667 0.428
Cs 0.667 0.333 0.572
Cs 0.667 0.333 0.928
Cr 0.333 0.667 0.663
Cr 0.333 0.667 0.837
Cr 0.667 0.333 0.163
Cr 0.667 0.333 0.337
Cl 0.038 0.519 0.750
Cl 0.179 0.359 0.594
Cl 0.179 0.359 0.906
Cl 0.179 0.821 0.594
Cl 0.179 0.821 0.906
Cl 0.359 0.179 0.094
Cl 0.359 0.179 0.406
Cl 0.481 0.519 0.750
Cl 0.481 0.962 0.750
Cl 0.519 0.038 0.250
Cl 0.519 0.481 0.250
Cl 0.641 0.821 0.594
Cl 0.641 0.821 0.906
Cl 0.821 0.179 0.094
Cl 0.821 0.179 0.406
Cl 0.821 0.641 0.094
Cl 0.821 0.641 0.406
Cl 0.962 0.481 0.250
```

***

[7]
Here is a geometry-optimized Ca5Mg3 structure from Alexandria. Energies are from GGA-PBEsol. Values from VASP.

Properties
* energy relative to the elements: -0.02 eV/atom
* E above lowest polymorph: 0.0191 eV per atom
* size of the total moment: 0.0 Bohr magnetons per cell
* E_tot: -16.0 eV/f.u.

```
&SYSTEM
  ibrav = 0, nat = 16, ntyp = 2
/
ATOMIC_SPECIES
Ca 40.08 Ca.upf
Mg 24.30 Mg.upf
CELL_PARAMETERS angstrom
9.744 0.000 0.000
-4.872 8.438 0.000
0.000 0.000 6.664
ATOMIC_POSITIONS crystal
Ca 0.000 0.245 0.250
Ca 0.000 0.755 0.750
Ca 0.245 0.000 0.250
Ca 0.245 0.245 0.750
Ca 0.333 0.667 0.000
Ca 0.333 0.667 0.500
Ca 0.667 0.333 0.000
Ca 0.667 0.333 0.500
Ca 0.755 0.000 0.750
Ca 0.755 0.755 0.250
Mg 0.000 0.404 0.750
Mg 0.000 0.596 0.250
Mg 0.404 0.000 0.750
Mg 0.404 0.404 0.250
Mg 0.596 0.000 0.250
Mg 0.596 0.596 0.750
```

***

[8]
Here is a geometry-optimized Ta2NiSnIr structure from Alexandria. Energies are from GGA-PBEsol. Values from VASP.

Properties
* energy relative to the elements: 0.73 eV/atom
* size of the total moment: 0.0 Bohr magnetons per cell
* E_tot: -41.7 eV/f.u.

```
&SYSTEM
  ibrav = 0, nat = 5, ntyp = 4
/
ATOMIC_SPECIES
Ta 180.95 Ta.upf
Ni 58.69 Ni.upf
Sn 118.71 Sn.upf
Ir 192.22 Ir.upf
CELL_PARAMETERS angstrom
4.471 0.000 0.000
0.000 4.471 0.000
0.000 0.000 4.592
ATOMIC_POSITIONS crystal
Ta 0.000 0.500 0.000
Ta 0.500 0.000 0.000
Ni 0.000 0.000 0.000
Sn 0.500 0.500 0.500
Ir 0.000 0.000 0.500
```

***

[9]
Here is a geometry-optimized K2OsSe structure from Alexandria. Energies are from GGA-PBEsol. Values from VASP.

Properties
* ΔE_f (raw): 0.68 eV per atom
* size of the total moment: 0.0 Bohr magnetons per cell
* E_tot: -15.6 eV/f.u.

```
&SYSTEM
  ibrav = 0, nat = 4, ntyp = 3
/
ATOMIC_SPECIES
K 39.10 K.upf
Os 190.23 Os.upf
Se 78.96 Se.upf
CELL_PARAMETERS angstrom
2.946 -5.148 0.000
2.946 5.148 0.000
0.000 0.000 2.750
ATOMIC_POSITIONS crystal
K 0.000 0.500 0.000
K 0.500 0.000 0.000
Os 0.000 0.000 0.500
Se 0.500 0.500 0.500
```

***

[10]
Here is a geometry-optimized CdW2O structure from Alexandria. Energies are from GGA-PBEsol. Values from VASP.

Properties
* ΔE_f (raw): 1.14 eV per atom
* size of the total moment: 0.0 Bohr magnetons per cell
* E_tot: -29.5 eV/f.u.

```
&SYSTEM
  ibrav = 0, nat = 4, ntyp = 3
/
ATOMIC_SPECIES
Cd 112.41 Cd.upf
W 183.84 W.upf
O 16.00 O.upf
CELL_PARAMETERS angstrom
0.000 3.059 3.059
3.059 0.000 3.059
3.059 3.059 0.000
ATOMIC_POSITIONS crystal
Cd 0.000 0.000 0.000
W 0.250 0.250 0.250
W 0.750 0.750 0.750
O 0.500 0.500 0.500
```

***

[11]
Here is a geometry-optimized BaAl4Sb2O12 structure from Alexandria. Energies are from GGA-PBEsol. Values from VASP.

Properties
* ΔE_f (raw): -2.55 eV per atom
* size of the total moment: 0.0 Bohr magnetons per cell
* E_tot: -139.0 eV/f.u.

```
&SYSTEM
  ibrav = 0, nat = 38, ntyp = 4
/
ATOMIC_SPECIES
Ba 137.33 Ba.upf
Al 26.98 Al.upf
Sb 121.76 Sb.upf
O 16.00 O.upf
CELL_PARAMETERS angstrom
-4.945 4.945 4.410
4.945 -4.945 4.410
4.945 4.945 -4.410
ATOMIC_POSITIONS crystal
Ba 0.215 0.215 0.000
Ba 0.785 0.785 0.000
Al 0.016 0.832 0.516
Al 0.168 0.684 0.184
Al 0.316 0.499 0.484
Al 0.499 0.016 0.184
Al 0.501 0.984 0.816
Al 0.684 0.501 0.516
Al 0.832 0.316 0.816
Al 0.984 0.168 0.484
Sb 0.163 0.650 0.812
Sb 0.350 0.163 0.513
Sb 0.650 0.837 0.487
Sb 0.837 0.350 0.188
O 0.130 0.487 0.954
O 0.137 0.506 0.292
O 0.148 0.199 0.347
O 0.155 0.863 0.368
O 0.158 0.452 0.609
O 0.175 0.130 0.642
O 0.199 0.852 0.051
O 0.213 0.845 0.708
O 0.452 0.842 0.294
O 0.467 0.825 0.954
O 0.487 0.533 0.358
O 0.494 0.787 0.632
O 0.506 0.213 0.368
O 0.513 0.467 0.642
O 0.533 0.175 0.046
O 0.548 0.158 0.706
O 0.787 0.155 0.292
O 0.801 0.148 0.949
O 0.825 0.870 0.358
O 0.842 0.548 0.391
O 0.845 0.137 0.632
O 0.852 0.801 0.653
O 0.863 0.494 0.708
O 0.870 0.513 0.046
```

***

[12]
Here is a geometry-optimized TiPN3 structure from Alexandria. Energies are from GGA-PBEsol. Values from VASP.

Properties
* ΔE_f (raw): -0.14 eV per atom
* size of the total moment: 0.0 Bohr magnetons per cell
* E_tot: -40.4 eV/f.u.

```
&SYSTEM
  ibrav = 0, nat = 5, ntyp = 3
/
ATOMIC_SPECIES
Ti 47.87 Ti.upf
P 30.97 P.upf
N 14.01 N.upf
CELL_PARAMETERS angstrom
3.453 0.000 0.000
0.000 3.453 0.000
0.000 0.000 3.453
ATOMIC_POSITIONS crystal
Ti 0.000 0.000 0.000
P 0.500 0.500 0.500
N 0.000 0.500 0.500
N 0.500 0.000 0.500
N 0.500 0.500 0.000
```